(1)
Density functional theory data (PBE) for a geometry-optimized TlGa2Pb structure.

Unit cell a=7.4500 b=7.4500 c=7.4500 alpha=90.00 beta=90.00 gamma=90.00
With the nearest neighbours (Å) after each atom.
Space group Fm-3m (No. 225)
Symmetry-distinct sites (fractional):
Tl 0.0000 0.0000 0.0000  8 Ga 3.23
Ga 0.2500 0.2500 0.2500  4 Tl 3.23, 4 Pb 3.23
Pb 0.0000 0.0000 0.5000  8 Ga 3.23

Values from the calculation:
The calculation puts the energy above the lowest structure with this stoichiometry at 21 meV per atom. The value obtained for the formation energy is 0.080 eV/atom. The total moment is 0.0 μB/f.u.


(2)
Density functional theory data (PBE) for a geometry-optimized Tl16GaPb12 structure.

Unit cell a=12.2071 b=17.4851 c=10.5152 alpha=90.00 beta=124.93 gamma=90.00
With the nearest neighbours (Å) after each atom.
Space group Cm (No. 8)
Symmetry-distinct sites (fractional):
Tl 0.0000 0.0000 0.0000  1 Ga 3.30, 2 Tl 3.48, 2 Pb 3.61
Tl 0.0071 0.2966 0.6648  5 Pb 3.36-3.66, 7 Tl 3.46-3.75
Tl 0.0345 0.3593 0.3480  5 Pb 3.30-3.64, 5 Tl 3.44-3.70, 1 Ga 3.66
Tl 0.0852 0.5000 0.6308  5 Pb 3.34-3.60, 5 Tl 3.47-3.70
Tl 0.1943 0.2042 0.0424  5 Pb 3.31-3.61, 4 Tl 3.48-3.68
Tl 0.3167 0.3272 0.3566  4 Tl 3.44-3.71, 6 Pb 3.61-3.78
Tl 0.3333 0.3446 0.7563  5 Pb 3.36-3.61, 7 Tl 3.48-3.74
Tl 0.3418 0.0000 0.7038  4 Tl 3.47-3.76, 6 Pb 3.64-3.70
Tl 0.4259 0.1580 0.9466  5 Pb 3.36-3.56, 6 Tl 3.49-3.71, 1 Ga 3.72
Tl 0.4883 0.5000 0.3486  4 Tl 3.71-3.76, 12 Pb 3.74-4.00
Ga 0.2986 0.0000 0.0649  5 Pb 3.17-3.54, 1 Tl 3.30
Pb 0.0942 0.0936 0.7392  3 Pb 3.22-3.35, 1 Ga 3.29, 3 Tl 3.31-3.51
Pb 0.0960 0.5000 0.1603  1 Ga 3.17, 3 Pb 3.23-3.35, 4 Tl 3.41-3.49
Pb 0.1789 0.1873 0.5439  3 Pb 3.22-3.34, 5 Tl 3.36-3.57
Pb 0.2077 0.4059 0.9780  3 Pb 3.20-3.35, 3 Tl 3.36-3.47
Pb 0.2730 0.0909 0.3473  3 Pb 3.18-3.34, 3 Tl 3.30-3.50, 1 Ga 3.54
Pb 0.3025 0.5000 0.5342  3 Pb 3.23-3.35, 5 Tl 3.34-3.61
Pb 0.4851 0.3148 0.1617  3 Pb 3.20-3.32, 5 Tl 3.36-3.58

Values from the calculation:
The value obtained for the formation energy is 0.013 eV/atom. The total moment is 0.0 μB/f.u.


(3)
Density functional theory data (PBE) for a geometry-optimized TlGa2Pb structure.

Unit cell a=4.5133 b=4.5133 c=21.1819 alpha=90.00 beta=90.00 gamma=90.00
With the nearest neighbours (Å) after each atom.
Space group I-42d (No. 122)
Symmetry-distinct sites (fractional):
Tl 0.0000 0.0000 0.0000  4 Ga 3.06, 4 Pb 3.19
Ga 0.2328 0.2500 0.1250  2 Tl 3.06, 4 Ga 3.08-3.30, 2 Pb 3.12
Pb 0.0000 0.0000 0.5000  4 Ga 3.12, 4 Tl 3.19

Values from the calculation:
The calculation puts the energy above the lowest structure with this stoichiometry at 134 meV per atom. The value obtained for the formation energy is 0.192 eV/atom. The total moment is 0.0 μB/f.u.


(4)
Density functional theory data (PBE) for a geometry-optimized Tl2GaPb2 structure.

Unit cell a=4.4209 b=4.4209 c=16.3567 alpha=90.00 beta=90.00 gamma=90.00
With the nearest neighbours (Å) after each atom.
Space group I4/mmm (No. 139)
Symmetry-distinct sites (fractional):
Tl 0.0000 0.5000 0.2500  4 Tl 3.13, 4 Pb 3.37
Ga 0.0000 0.0000 0.0000  8 Pb 3.49
Pb 0.0000 0.0000 0.4051  1 Pb 3.10, 4 Tl 3.37

Values from the calculation:
The calculation puts the energy above the lowest structure with this stoichiometry at 208 meV per atom. The value obtained for the formation energy is 0.228 eV/atom. The total moment is 0.0 μB/f.u.


(5)
Density functional theory data (PBE) for a geometry-optimized TlGa2Pb structure.

Unit cell a=4.3943 b=4.3943 c=20.1871 alpha=90.00 beta=90.00 gamma=120.00
With the nearest neighbours (Å) after each atom.
Space group R3m (No. 160, hexagonal axes)
Symmetry-distinct sites (fractional):
Tl 0.0000 0.0000 0.0000  6 Ga 3.08-3.19
Ga 0.0000 0.0000 0.4293  3 Pb 2.99, 1 Ga 3.05, 3 Tl 3.19
Ga 0.0000 0.0000 0.5806  3 Pb 2.94, 1 Ga 3.05, 3 Tl 3.08
Pb 0.0000 0.0000 0.1740  6 Ga 2.94-2.99

Values from the calculation:
The calculation puts the energy above the lowest structure with this stoichiometry at 93 meV per atom. The value obtained for the formation energy is 0.152 eV/atom. The total moment is 0.0 μB/f.u.


(6)
Density functional theory data (PBE) for a geometry-optimized TlGaPb2 structure.

Unit cell a=4.6496 b=4.6496 c=19.8983 alpha=90.00 beta=90.00 gamma=120.00
With the nearest neighbours (Å) after each atom.
Space group R3m (No. 160, hexagonal axes)
Symmetry-distinct sites (fractional):
Tl 0.0000 0.0000 0.0000  6 Pb 3.35, 1 Ga 3.36
Ga 0.0000 0.0000 0.1687  6 Pb 2.97-3.01
Pb 0.0000 0.0000 0.5660  3 Ga 2.97
Pb 0.0000 0.0000 0.7674  3 Ga 3.01, 3 Tl 3.35

Values from the calculation:
The calculation puts the energy above the lowest structure with this stoichiometry at 73 meV per atom. The value obtained for the formation energy is 0.115 eV/atom. The total moment is 0.0 μB/f.u.


(7)
Density functional theory data (PBE) for a geometry-optimized TlGa2Pb structure.

Unit cell a=6.3255 b=3.5939 c=9.3091 alpha=90.00 beta=96.61 gamma=90.00
With the nearest neighbours (Å) after each atom.
Space group P2_1/m (No. 11)
Symmetry-distinct sites (fractional):
Tl 0.2004 0.2500 0.1059  1 Ga 2.97
Ga 0.0081 0.2500 0.3821  5 Ga 2.77-2.85, 1 Tl 2.97, 2 Pb 3.08
Ga 0.3356 0.7500 0.4556  5 Ga 2.77-2.80, 1 Pb 3.06
Pb 0.3466 0.2500 0.7679  5 Ga 3.06-3.41, 1 Tl 3.38

Values from the calculation:
The calculation puts the energy above the lowest structure with this stoichiometry at 0 meV per atom. The value obtained for the formation energy is 0.059 eV/atom. The total moment is 0.0 μB/f.u.


(8)
Density functional theory data (PBE) for a geometry-optimized TlGaPb4 structure.

Unit cell a=14.5152 b=8.6653 c=6.0432 alpha=90.00 beta=106.05 gamma=90.00
With the nearest neighbours (Å) after each atom.
Space group C2/m (No. 12)
Symmetry-distinct sites (fractional):
Tl 0.2142 0.0000 0.1550  1 Ga 3.28, 8 Pb 3.41-3.61
Ga 0.0515 0.5000 0.7264  1 Ga 2.73
Pb 0.0000 0.2030 0.0000  2 Ga 3.26, 7 Pb 3.45-3.52, 2 Tl 3.47
Pb 0.1242 0.1943 0.5758  1 Ga 3.08, 3 Pb 3.37-3.45
Pb 0.1584 0.5000 0.2420  2 Ga 3.07-3.11, 1 Tl 3.41

Values from the calculation:
The calculation puts the energy above the lowest structure with this stoichiometry at 40 meV per atom. The value obtained for the formation energy is 0.061 eV/atom. The total moment is 0.0 μB/f.u.


(9)
Density functional theory data (PBE) for a geometry-optimized Tl2GaPb6 structure.

Unit cell a=13.0321 b=11.7249 c=9.0219 alpha=90.00 beta=127.05 gamma=90.00
With the nearest neighbours (Å) after each atom.
Space group C2/c (No. 15)
Symmetry-distinct sites (fractional):
Tl 0.1672 0.1300 0.4182  2 Tl 3.30-3.50, 6 Pb 3.36-3.61, 2 Ga 3.40-3.48
Ga 0.0000 0.3790 0.2500  4 Pb 3.23-3.29, 4 Tl 3.40-3.48
Pb 0.0578 0.1253 0.9730  7 Pb 3.34-3.59, 3 Tl 3.36-3.61
Pb 0.1009 0.3856 0.6764  2 Ga 3.23-3.29, 7 Pb 3.42-3.59, 1 Tl 3.61
Pb 0.2268 0.3703 0.1358  7 Pb 3.37-3.51, 2 Tl 3.38-3.50, 1 Ga 3.67

Values from the calculation:
The calculation puts the energy above the lowest structure with this stoichiometry at 0 meV per atom. The value obtained for the formation energy is 0.043 eV/atom. The total moment is 0.0 μB/f.u.


(10)
Density functional theory data (PBE) for a geometry-optimized TlGa2Pb2 structure.

Unit cell a=9.1121 b=9.1121 c=3.3445 alpha=90.00 beta=90.00 gamma=90.00
With the nearest neighbours (Å) after each atom.
Space group P4/mbm (No. 127)
Symmetry-distinct sites (fractional):
Tl 0.0000 0.0000 0.0000  2 Tl 3.34, 4 Pb 3.52
Ga 0.1558 0.3442 0.5000  6 Pb 3.12-3.17, 2 Ga 3.34
Pb 0.1395 0.6395 0.0000  6 Ga 3.12-3.17, 2 Pb 3.34

Values from the calculation:
The calculation puts the energy above the lowest structure with this stoichiometry at 45 meV per atom. The value obtained for the formation energy is 0.103 eV/atom. The total moment is 0.0 μB/f.u.


(11)
Density functional theory data (PBE) for a geometry-optimized TlGaPb4 structure.

Unit cell a=9.2344 b=9.2344 c=9.2344 alpha=90.00 beta=90.00 gamma=90.00
With the nearest neighbours (Å) after each atom.
Space group F-43m (No. 216)
Symmetry-distinct sites (fractional):
Tl 0.0000 0.0000 0.0000  12 Pb 3.83, 4 Ga 4.00
Ga 0.2500 0.2500 0.7500  12 Pb 3.83, 4 Tl 4.00
Pb 0.1248 0.1248 0.3752  6 Pb 3.26-3.27

Values from the calculation:
The calculation puts the energy above the lowest structure with this stoichiometry at 141 meV per atom. The value obtained for the formation energy is 0.161 eV/atom. The total moment is 0.0 μB/f.u.


(12)
Density functional theory data (PBE) for a geometry-optimized TlGa6Pb structure.

Unit cell a=4.0269 b=6.2246 c=7.2359 alpha=90.00 beta=90.00 gamma=90.00
With the nearest neighbours (Å) after each atom.
Space group Pmm2 (No. 25)
Symmetry-distinct sites (fractional):
Tl 0.0000 0.0000 0.0000  10 Ga 3.20-3.57
Ga 0.0000 0.2827 0.4139  6 Ga 2.71-2.89
Ga 0.0000 0.5000 0.7592  6 Ga 2.72-2.84
Ga 0.5000 0.0000 0.3438  6 Ga 2.72-2.87
Ga 0.5000 0.2158 0.6947  6 Ga 2.69-2.89
Pb 0.5000 0.5000 0.1021  10 Ga 3.20-3.57

Values from the calculation:
The value obtained for the formation energy is 0.029 eV/atom. The total moment is 0.0 μB/f.u.